P:
A relaxed structure of BeInOs3. Source: the Alexandria database, functional PBE-GGA.

Geometry as CIF:
```
data_BeInOs3
_chemical_formula_sum 'Be1 In1 Os3'
_space_group_name_H-M_alt 'P m -3 m'
_space_group_IT_number 221
_space_group_name_Hall '-P 4 2 3'
_cell_length_a 4.203
_cell_length_b 4.203
_cell_length_c 4.203
_cell_angle_alpha 90.00
_cell_angle_beta 90.00
_cell_angle_gamma 90.00
loop_
_atom_site_label
_atom_site_fract_x
_atom_site_fract_y
_atom_site_fract_z
Be1 0.000 0.000 0.000
In1 0.500 0.500 0.500
Os1 0.000 0.000 0.500
```

Computed properties:
* spin magnetization: 0.7 Bohr magnetons per cell
* calculated volume: 14.85 A^3/atom

Q:
A relaxed structure of BeInOs3. Source: the Alexandria database, functional PBE-GGA.

Geometry as CIF:
```
data_BeInOs3
_chemical_formula_sum 'Be1 In1 Os3'
_space_group_name_H-M_alt 'P m -3 m'
_space_group_IT_number 221
_space_group_name_Hall '-P 4 2 3'
_cell_length_a 4.830
_cell_length_b 4.830
_cell_length_c 4.830
_cell_angle_alpha 90.00
_cell_angle_beta 90.00
_cell_angle_gamma 90.00
loop_
_atom_site_label
_atom_site_fract_x
_atom_site_fract_y
_atom_site_fract_z
Be1 0.000 0.000 0.000
In1 0.500 0.500 0.500
Os1 0.000 0.500 0.500
```

Computed properties:
* spin magnetization: 4.0 Bohr magnetons per cell
* calculated volume: 22.53 A^3/atom

Most stable structure - P; separation to the second - 2.438 eV/atom.

P:
A relaxed structure of BeTlInOs2. Source: the Alexandria database, functional PBE-GGA.

Geometry as CIF:
```
data_BeTlInOs2
_chemical_formula_sum 'Be1 Tl1 In1 Os2'
_space_group_name_H-M_alt 'P 4/m m m'
_space_group_IT_number 123
_space_group_name_Hall '-P 4 2'
_cell_length_a 4.959
_cell_length_b 4.959
_cell_length_c 4.292
_cell_angle_alpha 90.00
_cell_angle_beta 90.00
_cell_angle_gamma 90.00
loop_
_atom_site_label
_atom_site_fract_x
_atom_site_fract_y
_atom_site_fract_z
Be1 0.000 0.000 0.000
Tl1 0.500 0.500 0.000
In1 0.000 0.000 0.500
Os1 0.000 0.500 0.500
```

Computed properties:
* spin magnetization: 0.0 Bohr magnetons per cell
* calculated volume: 21.11 A^3/atom

Q:
A relaxed structure of BeTlInOs2. Source: the Alexandria database, functional PBE-GGA.

Geometry as CIF:
```
data_BeTlInOs2
_chemical_formula_sum 'Be1 Tl1 In1 Os2'
_space_group_name_H-M_alt 'P 4/m m m'
_space_group_IT_number 123
_space_group_name_Hall '-P 4 2'
_cell_length_a 4.969
_cell_length_b 4.969
_cell_length_c 5.446
_cell_angle_alpha 90.00
_cell_angle_beta 90.00
_cell_angle_gamma 90.00
loop_
_atom_site_label
_atom_site_fract_x
_atom_site_fract_y
_atom_site_fract_z
Be1 0.000 0.000 0.000
Tl1 0.500 0.500 0.000
In1 0.500 0.500 0.500
Os1 0.000 0.500 0.500
```

Computed properties:
* spin magnetization: 2.5 Bohr magnetons per cell
* calculated volume: 26.90 A^3/atom

Most stable structure - P; separation to the second - 0.571 eV/atom.

P:
A relaxed structure of BeInP. Source: the Alexandria database, functional PBE-GGA.

Geometry as CIF:
```
data_BeInP
_chemical_formula_sum 'Be2 In2 P2'
_space_group_name_H-M_alt 'I m m 2'
_space_group_IT_number 44
_cell_length_a 2.887
_cell_length_b 3.370
_cell_length_c 11.617
_cell_angle_alpha 90.00
_cell_angle_beta 90.00
_cell_angle_gamma 90.00
loop_
_space_group_symop_operation_xyz
'x,y,z'
'-x,-y,z'
'-x,y,z'
'x,-y,z'
'x+1/2,y+1/2,z+1/2'
'-x+1/2,-y+1/2,z+1/2'
'-x+1/2,y+1/2,z+1/2'
'x+1/2,-y+1/2,z+1/2'
loop_
_atom_site_label
_atom_site_fract_x
_atom_site_fract_y
_atom_site_fract_z
Be1 0.000 0.000 0.000
In1 0.000 0.000 0.227
P1 0.000 0.000 0.457
```

Computed properties:
* spin magnetization: 0.0 Bohr magnetons per cell
* calculated volume: 18.84 A^3/atom

Q:
A relaxed structure of BeInP. Source: the Alexandria database, functional PBE-GGA.

Geometry as CIF:
```
data_BeInP
_chemical_formula_sum 'Be8 In8 P8'
_space_group_name_H-M_alt 'C m c e'
_space_group_IT_number 64
_space_group_name_Hall '-C 2ac 2'
_cell_length_a 10.061
_cell_length_b 7.125
_cell_length_c 7.079
_cell_angle_alpha 90.00
_cell_angle_beta 90.00
_cell_angle_gamma 90.00
loop_
_atom_site_label
_atom_site_fract_x
_atom_site_fract_y
_atom_site_fract_z
Be1 0.000 0.130 0.128
In1 0.189 0.000 0.500
P1 0.000 0.163 0.831
```

Computed properties:
* spin magnetization: 0.0 Bohr magnetons per cell
* calculated volume: 21.14 A^3/atom

R:
A relaxed structure of BeInP. Source: the Alexandria database, functional PBE-GGA.

Geometry as CIF:
```
data_BeInP
_chemical_formula_sum 'Be4 In4 P4'
_space_group_name_H-M_alt 'F -4 3 m'
_space_group_IT_number 216
_space_group_name_Hall 'F -4 2 3'
_cell_length_a 6.004
_cell_length_b 6.004
_cell_length_c 6.004
_cell_angle_alpha 90.00
_cell_angle_beta 90.00
_cell_angle_gamma 90.00
loop_
_atom_site_label
_atom_site_fract_x
_atom_site_fract_y
_atom_site_fract_z
Be1 0.000 0.000 0.000
In1 0.250 0.250 0.250
P1 0.250 0.250 0.750
```

Computed properties:
* spin magnetization: 0.0 Bohr magnetons per cell
* calculated volume: 18.04 A^3/atom

Most stable structure - Q; separation to the second - 0.202 eV/atom.

P:
A relaxed structure of Be3InP. Source: the Alexandria database, functional PBE-GGA.

Geometry as CIF:
```
data_Be3InP
_chemical_formula_sum 'Be3 In1 P1'
_space_group_name_H-M_alt 'P m -3 m'
_space_group_IT_number 221
_space_group_name_Hall '-P 4 2 3'
_cell_length_a 4.506
_cell_length_b 4.506
_cell_length_c 4.506
_cell_angle_alpha 90.00
_cell_angle_beta 90.00
_cell_angle_gamma 90.00
loop_
_atom_site_label
_atom_site_fract_x
_atom_site_fract_y
_atom_site_fract_z
Be1 0.000 0.000 0.500
In1 0.000 0.000 0.000
P1 0.500 0.500 0.500
```

Computed properties:
* spin magnetization: 0.0 Bohr magnetons per cell
* calculated volume: 18.30 A^3/atom

Q:
A relaxed structure of Be3InP. Source: the Alexandria database, functional PBE-GGA.

Geometry as CIF:
```
data_Be3InP
_chemical_formula_sum 'Be3 In1 P1'
_space_group_name_H-M_alt 'P m -3 m'
_space_group_IT_number 221
_space_group_name_Hall '-P 4 2 3'
_cell_length_a 4.232
_cell_length_b 4.232
_cell_length_c 4.232
_cell_angle_alpha 90.00
_cell_angle_beta 90.00
_cell_angle_gamma 90.00
loop_
_atom_site_label
_atom_site_fract_x
_atom_site_fract_y
_atom_site_fract_z
Be1 0.000 0.000 0.500
In1 0.500 0.500 0.500
P1 0.000 0.000 0.000
```

Computed properties:
* spin magnetization: 0.0 Bohr magnetons per cell
* calculated volume: 15.16 A^3/atom

Most stable structure - Q; separation to the second - 0.820 eV/atom.

P:
A relaxed structure of BeInPS2. Source: the Alexandria database, functional PBE-GGA.

Geometry as CIF:
```
data_BeInPS2
_chemical_formula_sum 'Be1 In1 P1 S2'
_space_group_name_H-M_alt 'P 4/m m m'
_space_group_IT_number 123
_space_group_name_Hall '-P 4 2'
_cell_length_a 4.707
_cell_length_b 4.707
_cell_length_c 4.034
_cell_angle_alpha 90.00
_cell_angle_beta 90.00
_cell_angle_gamma 90.00
loop_
_atom_site_label
_atom_site_fract_x
_atom_site_fract_y
_atom_site_fract_z
Be1 0.000 0.000 0.000
In1 0.500 0.500 0.500
P1 0.000 0.000 0.500
S1 0.000 0.500 0.000
```

Computed properties:
* spin magnetization: 0.0 Bohr magnetons per cell
* calculated volume: 17.87 A^3/atom

Q:
A relaxed structure of BeInPS2. Source: the Alexandria database, functional PBE-GGA.

Geometry as CIF:
```
data_BeInPS2
_chemical_formula_sum 'Be1 In1 P1 S2'
_space_group_name_H-M_alt 'P 4/m m m'
_space_group_IT_number 123
_space_group_name_Hall '-P 4 2'
_cell_length_a 4.987
_cell_length_b 4.987
_cell_length_c 5.095
_cell_angle_alpha 90.00
_cell_angle_beta 90.00
_cell_angle_gamma 90.00
loop_
_atom_site_label
_atom_site_fract_x
_atom_site_fract_y
_atom_site_fract_z
Be1 0.000 0.000 0.000
In1 0.500 0.500 0.500
P1 0.500 0.500 0.000
S1 0.000 0.500 0.500
```

Computed properties:
* spin magnetization: 0.9 Bohr magnetons per cell
* calculated volume: 25.34 A^3/atom

Most stable structure - P; separation to the second - 0.925 eV/atom.

P:
A relaxed structure of BeInSiP. Source: the Alexandria database, functional PBE-GGA.

Geometry as CIF:
```
data_BeInSiP
_chemical_formula_sum 'Be2 In2 Si2 P2'
_space_group_name_H-M_alt 'C 1 m 1'
_space_group_IT_number 8
_cell_length_a 10.181
_cell_length_b 4.736
_cell_length_c 2.822
_cell_angle_alpha 90.00
_cell_angle_beta 105.93
_cell_angle_gamma 90.00
loop_
_space_group_symop_operation_xyz
'x,y,z'
'x,-y,z'
'x+1/2,y+1/2,z'
'x+1/2,-y+1/2,z'
loop_
_atom_site_label
_atom_site_fract_x
_atom_site_fract_y
_atom_site_fract_z
Be1 0.000 0.000 0.000
In1 0.482 0.000 0.485
Si1 0.192 0.000 0.690
P1 0.280 0.500 0.777
```

Computed properties:
* spin magnetization: 0.0 Bohr magnetons per cell
* calculated volume: 16.35 A^3/atom

Q:
A relaxed structure of BeInSiP. Source: the Alexandria database, functional PBE-GGA.

Geometry as CIF:
```
data_BeInSiP
_chemical_formula_sum 'Be1 In1 Si1 P1'
_space_group_name_H-M_alt 'P 1 m 1'
_space_group_IT_number 6
_cell_length_a 3.477
_cell_length_b 3.341
_cell_length_c 6.847
_cell_angle_alpha 90.00
_cell_angle_beta 90.06
_cell_angle_gamma 90.00
loop_
_space_group_symop_operation_xyz
'x,y,z'
'x,-y,z'
loop_
_atom_site_label
_atom_site_fract_x
_atom_site_fract_y
_atom_site_fract_z
Be1 0.000 0.000 0.000
In1 0.002 0.500 0.399
Si1 0.500 0.500 0.050
P1 0.500 0.000 0.811
```

Computed properties:
* spin magnetization: 0.0 Bohr magnetons per cell
* calculated volume: 19.88 A^3/atom

Most stable structure - Q; separation to the second - 0.086 eV/atom.

P:
A relaxed structure of BeInSiP. Source: the Alexandria database, functional PBE-GGA.

Geometry as CIF:
```
data_BeInSiP
_chemical_formula_sum 'Be1 In1 Si1 P1'
_space_group_name_H-M_alt 'P 1'
_space_group_IT_number 1
_cell_length_a 3.493
_cell_length_b 3.498
_cell_length_c 7.269
_cell_angle_alpha 89.88
_cell_angle_beta 89.75
_cell_angle_gamma 60.06
loop_
_space_group_symop_operation_xyz
'x,y,z'
loop_
_atom_site_label
_atom_site_fract_x
_atom_site_fract_y
_atom_site_fract_z
Be1 0.000 0.000 0.000
In1 0.007 0.999 0.478
Si1 0.669 0.666 0.799
P1 0.666 0.666 0.104
```

Computed properties:
* spin magnetization: 0.0 Bohr magnetons per cell
* calculated volume: 19.24 A^3/atom

Q:
A relaxed structure of BeInSiP. Source: the Alexandria database, functional PBE-GGA.

Geometry as CIF:
```
data_BeInSiP
_chemical_formula_sum 'Be1 In1 Si1 P1'
_space_group_name_H-M_alt 'P 1'
_space_group_IT_number 1
_cell_length_a 3.455
_cell_length_b 3.473
_cell_length_c 7.192
_cell_angle_alpha 90.19
_cell_angle_beta 90.16
_cell_angle_gamma 119.16
loop_
_space_group_symop_operation_xyz
'x,y,z'
loop_
_atom_site_label
_atom_site_fract_x
_atom_site_fract_y
_atom_site_fract_z
Be1 0.000 0.000 0.000
In1 0.351 0.711 0.534
Si1 0.669 0.339 0.203
P1 0.664 0.335 0.893
```

Computed properties:
* spin magnetization: 0.0 Bohr magnetons per cell
* calculated volume: 18.84 A^3/atom

R:
A relaxed structure of BeInSiP. Source: the Alexandria database, functional PBE-GGA.

Geometry as CIF:
```
data_BeInSiP
_chemical_formula_sum 'Be1 In1 Si1 P1'
_space_group_name_H-M_alt 'P 1'
_space_group_IT_number 1
_cell_length_a 3.330
_cell_length_b 3.810
_cell_length_c 6.810
_cell_angle_alpha 85.48
_cell_angle_beta 75.94
_cell_angle_gamma 64.22
loop_
_space_group_symop_operation_xyz
'x,y,z'
loop_
_atom_site_label
_atom_site_fract_x
_atom_site_fract_y
_atom_site_fract_z
Be1 0.000 0.000 0.000
In1 0.796 0.031 0.384
Si1 0.356 0.620 0.664
P1 0.741 0.602 0.915
```

Computed properties:
* spin magnetization: 0.0 Bohr magnetons per cell
* calculated volume: 18.86 A^3/atom

Most stable structure - P; separation to the second - 0.007 eV/atom.

P:
A relaxed structure of BeInSiP. Source: the Alexandria database, functional PBE-GGA.

Geometry as CIF:
```
data_BeInSiP
_chemical_formula_sum 'Be1 In1 Si1 P1'
_space_group_name_H-M_alt 'P 1'
_space_group_IT_number 1
_cell_length_a 4.072
_cell_length_b 4.086
_cell_length_c 5.882
_cell_angle_alpha 109.74
_cell_angle_beta 90.30
_cell_angle_gamma 119.70
loop_
_space_group_symop_operation_xyz
'x,y,z'
loop_
_atom_site_label
_atom_site_fract_x
_atom_site_fract_y
_atom_site_fract_z
Be1 0.000 0.000 0.000
In1 0.988 0.549 0.557
Si1 0.355 0.613 0.969
P1 0.276 0.031 0.324
```

Computed properties:
* spin magnetization: 0.0 Bohr magnetons per cell
* calculated volume: 19.55 A^3/atom

Q:
A relaxed structure of BeInSiP. Source: the Alexandria database, functional PBE-GGA.

Geometry as CIF:
```
data_BeInSiP
_chemical_formula_sum 'Be1 In1 Si1 P1'
_space_group_name_H-M_alt 'P 1'
_space_group_IT_number 1
_cell_length_a 3.443
_cell_length_b 3.747
_cell_length_c 6.247
_cell_angle_alpha 73.01
_cell_angle_beta 74.62
_cell_angle_gamma 89.54
loop_
_space_group_symop_operation_xyz
'x,y,z'
loop_
_atom_site_label
_atom_site_fract_x
_atom_site_fract_y
_atom_site_fract_z
Be1 0.000 0.000 0.000
In1 0.221 0.367 0.552
Si1 0.561 0.642 0.890
P1 0.409 0.060 0.187
```

Computed properties:
* spin magnetization: 0.0 Bohr magnetons per cell
* calculated volume: 18.52 A^3/atom

Most stable structure - P; separation to the second - 0.054 eV/atom.